Here is an optimized crystal structure of Ta2ZnPt from the Alexandria database. Energies are from GGA-PBE.

Output
ΔE to the lowest computed polymorph   281 meV per atom
Crystal system   cubic
Space-group type   Fm-3m (225)

The structure in POSCAR format:
```
Ta2ZnPt
1.0
-0.9429 0.1367 4.4565
-4.2006 -0.9791 1.4714
-0.7701 -3.8666 2.2858
Zn Pt Ta
1 1 2
Direct
0.0000 0.0000 0.0000
0.5000 0.5000 0.5000
0.2500 0.2500 0.2500
0.7500 0.7500 0.7500
```

=====

Here is an optimized crystal structure of TaZnPt from the Alexandria database. Energies are from GGA-PBE.

Output
Crystal system   cubic
Space-group type   F-43m (216)

The structure in POSCAR format:
```
TaZnPt
1.0
4.2901 0.0000 0.0000
2.1450 3.7153 0.0000
2.1450 1.2384 3.5028
Pt Ta Zn
1 1 1
Direct
0.7500 0.7500 0.7500
0.0000 0.0000 0.0000
0.5000 0.5000 0.5000
```

=====

Q: Which formation enthalpy at 0 K values were calculated for the entries above? A: -31 -255, in meV/atom.
Q: Which volume values were calculated for the entries above? A: 16.7 18.6, in A^3/atom.